No. 1
Computed, not measured: an optimized crystal structure of V3TcGe6 at the PBE-GGA level of DFT.

Calculated values
**Magnetic moment**: 0.8 μB/cell
**DFT formation energy**: 54 meV/atom
**Space-group type**: P2_1/c (14)

```
data_V3TcGe6
_cell_length_a 6.526
_cell_length_b 6.456
_cell_length_c 7.766
_cell_angle_alpha 90.00
_cell_angle_beta 90.12
_cell_angle_gamma 90.00
_space_group_name_H-M_alt 'P 1'
_space_group_IT_number 1
loop_
_space_group_symop_operation_xyz
'x,y,z'
loop_
_atom_site_label
_atom_site_type_symbol
_atom_site_fract_x
_atom_site_fract_y
_atom_site_fract_z
Ge1 Ge 0.636 0.146 0.944
Ge2 Ge 0.138 0.358 0.054
Ge3 Ge 0.638 0.142 0.554
Ge4 Ge 0.233 0.003 0.749
V1 V 0.573 0.799 0.753
Ge5 Ge 0.862 0.642 0.946
V2 V 0.427 0.201 0.247
Ge6 Ge 0.864 0.646 0.556
Ge7 Ge 0.364 0.854 0.056
Ge8 Ge 0.733 0.497 0.249
V3 V 0.927 0.299 0.747
V4 V 0.073 0.701 0.253
Tc1 Tc 0.000 0.000 0.000
Ge9 Ge 0.767 0.997 0.251
Ge10 Ge 0.136 0.354 0.444
Ge11 Ge 0.362 0.858 0.446
V5 V 0.500 0.500 0.000
Tc2 Tc 0.500 0.500 0.500
V6 V 0.000 0.000 0.500
Ge12 Ge 0.267 0.503 0.751
```

---

No. 2
Computed, not measured: an optimized crystal structure of VTc3Ge3 at the PBE-GGA level of DFT.

Calculated values
**Magnetic moment**: 0.0 μB/cell
**DFT formation energy**: -11 meV/atom
**Space-group type**: R-3 (148)

```
data_VTc3Ge3
_cell_length_a 6.648
_cell_length_b 6.648
_cell_length_c 6.648
_cell_angle_alpha 62.91
_cell_angle_beta 62.91
_cell_angle_gamma 62.91
_space_group_name_H-M_alt 'P 1'
_space_group_IT_number 1
loop_
_space_group_symop_operation_xyz
'x,y,z'
loop_
_atom_site_label
_atom_site_type_symbol
_atom_site_fract_x
_atom_site_fract_y
_atom_site_fract_z
Ge1 Ge 0.519 0.087 0.701
Tc1 Tc 0.308 0.816 0.070
V1 V 0.343 0.343 0.343
Ge2 Ge 0.087 0.701 0.519
Tc2 Tc 0.930 0.692 0.184
Ge3 Ge 0.913 0.299 0.481
Tc3 Tc 0.816 0.070 0.308
V2 V 0.657 0.657 0.657
Ge4 Ge 0.481 0.913 0.299
Tc4 Tc 0.184 0.930 0.692
Ge5 Ge 0.701 0.519 0.087
Tc5 Tc 0.692 0.184 0.930
Ge6 Ge 0.299 0.481 0.913
Tc6 Tc 0.070 0.308 0.816
```

---

No. 3
Computed, not measured: an optimized crystal structure of V3TcGe at the PBE-GGA level of DFT.

Calculated values
**Magnetic moment**: 0.0 μB/cell
**DFT formation energy**: 1031 meV/atom
**Space-group type**: Pm-3m (221)
**Excess energy over the best structure of this formula in the dataset**: 95.3 kJ/mol of atoms

```
data_V3TcGe
_cell_length_a 4.519
_cell_length_b 4.519
_cell_length_c 4.519
_cell_angle_alpha 90.00
_cell_angle_beta 90.00
_cell_angle_gamma 90.00
_space_group_name_H-M_alt 'P 1'
_space_group_IT_number 1
loop_
_space_group_symop_operation_xyz
'x,y,z'
loop_
_atom_site_label
_atom_site_type_symbol
_atom_site_fract_x
_atom_site_fract_y
_atom_site_fract_z
V1 V 0.000 0.500 0.000
V2 V 0.000 0.000 0.500
V3 V 0.500 0.000 0.000
Tc1 Tc 0.000 0.000 0.000
Ge1 Ge 0.500 0.500 0.500
```

---

Question: Look up the DFT formation energy of the third one.
Answer: 1031 meV/atom